A plane-wave DFT calculation with SCAN was carried out for a PBEsol-optimized structure of La2RuF2.

Output
raw total energy = -137.331 eV/f.u.
formation energy (no corrections) = -1.84 eV/atom
density = 7.5 g cm⁻³

Cell lengths 4.795, 4.795, 8.032 Å; angles 90.00, 90.00, 90.00 degrees
Space group I4/mmm (No. 139)
Unique sites:
La (0.000, 0.500, 0.250)
Ru (0.000, 0.000, 0.000)
F (0.000, 0.000, 0.349)

A plane-wave DFT calculation with SCAN was carried out for a PBEsol-optimized structure of La2SF.

Output
raw total energy = -108.115 eV/f.u.
formation energy (no corrections) = -2.18 eV/atom
density = 4.9 g cm⁻³

Cell lengths 6.322, 6.322, 11.239 Å; angles 90.00, 90.00, 90.00 degrees
Space group I-42d (No. 122)
Unique sites:
La (0.220, 0.750, 0.125)
S (0.000, 0.000, 0.500)
F (0.000, 0.000, 0.000)

A plane-wave DFT calculation with SCAN was carried out for a PBEsol-optimized structure of LaTcSb2F.

Output
raw total energy = -150.720 eV/f.u.
formation energy (no corrections) = 1.10 eV/atom
density = 4.8 g cm⁻³

Cell lengths 5.952, 5.952, 4.871 Å; angles 90.00, 90.00, 90.00 degrees
Space group P4/mmm (No. 123)
Unique sites:
La (0.000, 0.000, 0.000)
Tc (0.000, 0.000, 0.500)
Sb (0.000, 0.500, 0.000)
F (0.500, 0.500, 0.500)